[1]
DFT (GGA-PBE) results for an optimized crystal structure of TlTe2PdN.

Cell lengths 5.832, 5.832, 3.704 Å; angles 90.00, 90.00, 90.00 degrees
Positions (direct):
Tl (0.000, 0.000, 0.000)
Te (0.000, 0.500, 0.500)
Te (0.500, 0.000, 0.500)
Pd (0.500, 0.500, 0.500)
N (0.500, 0.500, 0.000)

Values from the calculation:
- offset from the most stable computed form (eV per formula unit) = 0.00

***

[2]
DFT (GGA-PBE) results for an optimized crystal structure of UTe2PdN.

Cell lengths 3.915, 3.915, 14.242 Å; angles 90.00, 90.00, 90.00 degrees
Positions (direct):
U (0.250, 0.250, 0.080)
U (0.750, 0.750, 0.920)
Te (0.250, 0.250, 0.417)
Te (0.250, 0.250, 0.796)
Te (0.750, 0.750, 0.204)
Te (0.750, 0.750, 0.583)
Pd (0.250, 0.250, 0.606)
Pd (0.750, 0.750, 0.394)
N (0.250, 0.750, 0.000)
N (0.750, 0.250, 0.000)

***

[3]
DFT (GGA-PBE) results for an optimized crystal structure of Te2PdWN.

Cell lengths 5.427, 5.427, 3.663 Å; angles 90.00, 90.00, 90.00 degrees
Positions (direct):
Te (0.000, 0.500, 0.000)
Te (0.500, 0.000, 0.000)
Pd (0.000, 0.000, 0.000)
W (0.500, 0.500, 0.500)
N (0.000, 0.000, 0.500)

Values from the calculation:
- offset from the most stable computed form (eV per formula unit) = 4.39

***

[4]
DFT (GGA-PBE) results for an optimized crystal structure of Te2PdWN.

Cell lengths 5.397, 5.397, 3.782 Å; angles 90.00, 90.00, 90.00 degrees
Positions (direct):
Te (0.000, 0.500, 0.000)
Te (0.500, 0.000, 0.000)
Pd (0.000, 0.000, 0.500)
W (0.500, 0.500, 0.000)
N (0.500, 0.500, 0.500)

Values from the calculation:
- offset from the most stable computed form (eV per formula unit) = 0.00

***

[5]
DFT (GGA-PBE) results for an optimized crystal structure of YTePdN2.

Cell lengths 4.223, 4.223, 5.207 Å; angles 90.00, 90.00, 90.00 degrees
Positions (direct):
Y (0.000, 0.000, 0.000)
Te (0.500, 0.500, 0.000)
Pd (0.500, 0.500, 0.500)
N (0.000, 0.500, 0.500)
N (0.500, 0.000, 0.500)

Values from the calculation:
- offset from the most stable computed form (eV per formula unit) = 0.00

***

[6]
DFT (GGA-PBE) results for an optimized crystal structure of YTePdN2.

Cell lengths 4.229, 4.229, 6.414 Å; angles 90.00, 90.00, 90.00 degrees
Positions (direct):
Y (0.000, 0.000, 0.000)
Te (0.000, 0.000, 0.500)
Pd (0.500, 0.500, 0.500)
N (0.000, 0.500, 0.000)
N (0.500, 0.000, 0.000)

Values from the calculation:
- offset from the most stable computed form (eV per formula unit) = 1.23

***

Number 1: energy -3.96 eV per atom, formation energy (no corrections) 0.478 eV/atom. Number 2: energy -7.09 eV per atom, formation energy (no corrections) -0.871 eV/atom. Number 3: energy -5.24 eV per atom, formation energy (no corrections) 1.306 eV/atom. Number 4: energy -6.12 eV per atom, formation energy (no corrections) 0.428 eV/atom. Number 5: energy -5.55 eV per atom, formation energy (no corrections) 0.735 eV/atom. Number 6: energy -5.31 eV per atom, formation energy (no corrections) 0.981 eV/atom.